# 1
4
Lattice="-2.194 -0.983 -2.474 1.109 -1.971 -2.605 -3.141 -11.143 4.809" Properties=species:S:1:pos:R:3 comment="PBE-GGA CeYTh2, optimized geometry" e_above_lowest_polymorph_mev_per_atom=223 ef_ev_per_atom=0.256 sg="R-3m, No. 166" pbc="T T T"
Y 0.000 0.000 0.000
Ce -2.113 -7.048 -0.135
Th -2.410 -8.471 3.099
Th -1.817 -5.626 -3.369



# 2
20
Lattice="-2.672 0.751 8.876 -8.949 -6.770 2.211 9.012 1.137 6.949" Properties=species:S:1:pos:R:3 comment="PBE-GGA CeY3Th, optimized geometry" ef_ev_per_atom=0.234 sg="C2/c, No. 15" pbc="T T T"
Ce -3.199 -4.149 15.802
Ce -0.507 -3.927 11.722
Ce -2.102 -0.955 6.315
Ce 0.590 -0.733 2.235
Y -2.743 -5.520 9.387
Y -5.767 -5.693 7.001
Y 0.190 -3.265 14.952
Y -3.400 -3.460 12.556
Y -5.679 -4.042 3.914
Y 0.486 -2.713 8.791
Y -3.095 -2.169 9.246
Y 3.071 -0.840 14.122
Y 0.791 -1.422 5.481
Y -2.799 -1.617 3.085
Y 3.158 0.812 11.036
Y 0.134 0.638 8.649
Th -5.921 -3.991 10.196
Th -3.160 -3.740 6.134
Th 0.551 -1.142 11.903
Th 3.312 -0.890 7.841



# 3
20
Lattice="4.997 0.000 0.000 0.000 4.997 0.000 0.000 0.000 24.874" Properties=species:S:1:pos:R:3 comment="PBE-GGA Ce4YTh15, optimized geometry" ef_ev_per_atom=0.014 sg="P4/mmm, No. 123" pbc="T T T"
Ce 0.000 0.000 5.014
Ce 0.000 0.000 9.965
Ce 0.000 0.000 14.909
Ce 0.000 0.000 19.860
Y 0.000 0.000 0.000
Th 2.499 2.499 0.000
Th 2.499 2.499 5.046
Th 2.499 2.499 9.971
Th 2.499 2.499 14.903
Th 2.499 2.499 19.829
Th 2.499 0.000 2.551
Th 2.499 0.000 7.498
Th 2.499 0.000 12.437
Th 2.499 0.000 17.376
Th 2.499 0.000 22.323
Th 0.000 2.499 2.551
Th 0.000 2.499 7.498
Th 0.000 2.499 12.437
Th 0.000 2.499 17.376
Th 0.000 2.499 22.323



# 4
4
Lattice="5.617 0.000 0.000 2.809 4.865 0.000 2.809 1.622 4.586" Properties=species:S:1:pos:R:3 comment="PBE-GGA CeYTh2, optimized geometry" e_above_lowest_polymorph_mev_per_atom=159 ef_ev_per_atom=0.192 sg="Fm-3m, No. 225" pbc="T T T"
Y 5.617 3.243 2.293
Ce 0.000 0.000 0.000
Th 2.809 1.622 1.147
Th 8.426 4.865 3.440



# 5
30
Lattice="-6.682 -0.883 -0.008 3.913 -5.346 -1.240 0.653 -5.155 24.292" Properties=species:S:1:pos:R:3 comment="PBE-GGA CeY2Th12, optimized geometry" ef_ev_per_atom=0.228 sg="Pmmm, No. 47" pbc="T T T"
Ce -3.341 -0.442 -0.004
Ce 2.609 -7.828 23.672
Y -3.169 -1.800 6.398
Y 2.128 -4.032 5.782
Y 2.437 -6.469 17.270
Y -2.860 -4.238 17.886
Th -0.858 -7.275 18.980
Th 0.527 -4.160 19.603
Th -1.468 -9.480 21.719
Th 1.836 -8.743 20.334
Th 0.209 -1.653 7.787
Th 1.345 -4.873 2.094
Th -3.652 -5.009 13.869
Th -1.175 -4.767 7.164
Th -0.083 -6.365 22.343
Th -2.033 -5.019 0.701
Th -0.325 -4.462 13.376
Th -3.762 -4.144 9.791
Th 0.444 -3.502 16.504
Th -0.407 -3.808 10.292
Th -0.648 -1.905 1.325
Th -1.792 -6.922 9.669
Th -1.709 -7.577 12.752
Th 0.126 -0.995 4.688
Th 1.645 -7.241 13.254
Th -0.941 -6.617 15.881
Th -3.462 -6.512 20.950
Th -1.259 -4.110 4.065
Th 1.536 -6.375 9.175
Th -3.952 -2.641 2.710



# 6
10
Lattice="-0.565 3.363 0.982 -2.163 -1.551 -2.347 -16.848 -9.126 21.562" Properties=species:S:1:pos:R:3 comment="PBE-GGA CeYTh3, optimized geometry" ef_ev_per_atom=0.035 sg="P6_3mc, No. 186" pbc="T T T"
Ce -13.830 -6.521 14.375
Ce -4.873 -0.320 4.703
Y -0.465 -0.252 0.595
Y -8.889 -4.815 11.376
Th -5.435 -2.944 6.956
Th -13.859 -7.507 17.737
Th -3.782 -1.078 1.516
Th -11.674 -4.003 13.407
Th -16.650 -6.699 19.775
Th -8.759 -3.774 7.885



# 7
8
Lattice="5.478 0.000 0.000 0.000 7.250 0.000 0.000 0.000 7.250" Properties=species:S:1:pos:R:3 comment="PBE-GGA CeY2Th5, optimized geometry" ef_ev_per_atom=0.684 sg="P4/mmm, No. 123" pbc="T T T"
Ce 0.000 0.000 0.000
Y 2.739 3.625 0.000
Y 2.739 0.000 3.625
Th 0.000 5.232 5.232
Th 0.000 2.018 5.232
Th 0.000 5.232 2.018
Th 2.739 0.000 0.000
Th 0.000 2.018 2.018



# 8
4
Lattice="5.020 0.000 0.000 0.000 4.903 0.000 0.000 0.000 4.903" Properties=species:S:1:pos:R:3 comment="PBE-GGA Ce2YTh, optimized geometry" e_above_lowest_polymorph_mev_per_atom=33 ef_ev_per_atom=0.098 sg="P4/mmm, No. 123" pbc="T T T"
Y 2.510 2.452 2.452
Ce 0.000 0.000 2.452
Ce 0.000 2.452 0.000
Th 2.510 0.000 0.000



# 9
4
Lattice="3.490 0.000 0.000 0.000 3.490 0.000 0.000 0.000 9.934" Properties=species:S:1:pos:R:3 comment="PBE-GGA Ce2YTh, optimized geometry" e_above_lowest_polymorph_mev_per_atom=0 ef_ev_per_atom=0.065 sg="P4/mmm, No. 123" pbc="T T T"
Y 1.745 1.745 4.967
Ce 0.000 0.000 7.546
Ce 0.000 0.000 2.388
Th 1.745 1.745 0.000



# 10
12
Lattice="-1.351 1.895 2.703 -4.778 1.636 -3.536 -8.778 -13.983 5.415" Properties=species:S:1:pos:R:3 comment="PBE-GGA CeY4Th, optimized geometry" ef_ev_per_atom=0.043 sg="C2/m, No. 12" pbc="T T T"
Ce -4.389 -6.991 2.708
Ce -3.064 1.766 -0.417
Y -4.423 -3.473 2.577
Y -4.382 0.142 2.416
Y -10.484 -6.978 2.005
Y -10.525 -10.593 2.166
Y -7.486 -1.723 2.170
Y -6.095 0.027 -0.714
Y -7.420 -8.729 2.412
Y -8.812 -10.478 5.296
Th -7.453 -5.226 2.291
Th 0.000 0.000 0.000



# 11
16
Lattice="-2.826 -5.783 3.401 4.017 -0.924 -6.000 9.400 -0.818 6.419" Properties=species:S:1:pos:R:3 comment="PBE-GGA CeY14Th, optimized geometry" ef_ev_per_atom=0.028 sg="Amm2, No. 38" pbc="T T T"
Ce -1.705 -4.987 1.861
Y 6.436 -2.952 0.343
Y 3.014 -5.382 5.045
Y 0.331 -5.424 -1.175
Y 5.023 -5.847 2.044
Y -0.263 -2.080 0.121
Y 4.426 -2.488 3.345
Y 8.530 -5.230 2.066
Y 3.823 -4.820 -1.148
Y 7.934 -1.876 3.366
Y 3.227 -1.466 0.152
Y 9.924 -2.352 0.393
Y 5.216 -1.942 -2.822
Y 6.492 -4.775 5.071
Y 1.820 -4.368 1.881
Th 1.701 -2.568 -2.818



# 12
4
Lattice="-2.428 -2.318 -1.145 -0.148 -0.861 -3.438 6.500 -9.676 0.313" Properties=species:S:1:pos:R:3 comment="PBE-GGA CeYTh2, optimized geometry" e_above_lowest_polymorph_mev_per_atom=8 ef_ev_per_atom=0.041 sg="R3m, No. 160" pbc="T T T"
Ce 4.757 -11.767 -2.749
Y 1.992 -6.463 -2.127
Th 4.698 -7.566 -0.138
Th 0.937 -3.163 -1.078



# 13
9
Lattice="3.337 0.511 0.322 -0.908 8.765 -4.517 2.597 -0.434 9.489" Properties=species:S:1:pos:R:3 comment="PBE-GGA Ce6Y2Th, optimized geometry" ef_ev_per_atom=0.094 sg="Cmmm, No. 65" pbc="T T T"
Ce 4.506 0.229 6.511
Ce 1.103 2.983 1.684
Ce 0.521 8.613 -1.217
Ce 1.392 2.924 -1.214
Ce 3.924 5.859 3.610
Ce 1.037 6.352 -2.981
Y 2.531 2.835 4.994
Y 2.496 6.007 0.300
Th 0.000 0.000 0.000



# 14
4
Lattice="4.936 0.000 0.000 0.000 5.037 0.000 0.000 0.000 5.037" Properties=species:S:1:pos:R:3 comment="PBE-GGA CeYTh2, optimized geometry" e_above_lowest_polymorph_mev_per_atom=46 ef_ev_per_atom=0.079 sg="P4/mmm, No. 123" pbc="T T T"
Y 2.468 0.000 0.000
Ce 2.468 2.518 2.518
Th 0.000 0.000 2.518
Th 0.000 2.518 0.000



# 15
4
Lattice="3.536 0.000 0.000 0.000 3.536 0.000 0.000 0.000 9.952" Properties=species:S:1:pos:R:3 comment="PBE-GGA CeYTh2, optimized geometry" e_above_lowest_polymorph_mev_per_atom=0 ef_ev_per_atom=0.033 sg="P4/mmm, No. 123" pbc="T T T"
Y 1.768 1.768 4.976
Ce 1.768 1.768 0.000
Th 0.000 0.000 7.544
Th 0.000 0.000 2.408



# 16
13
Lattice="6.466 0.000 -3.488 -4.174 6.046 0.000 1.110 0.767 9.793" Properties=species:S:1:pos:R:3 comment="PBE-GGA CeY8Th4, optimized geometry" ef_ev_per_atom=0.202 sg="R-3m, No. 166" pbc="T T T"
Ce -1.532 3.406 4.896
Y 0.724 4.964 1.341
Y 2.678 1.849 4.963
Y 2.584 1.784 1.285
Y 6.030 1.721 3.440
Y 0.818 5.029 5.020
Y 3.746 5.029 3.440
Y -0.345 1.784 2.865
Y -2.628 5.092 2.865
Th 0.000 0.000 0.000
Th -2.087 3.023 0.000
Th 1.146 3.023 -1.744
Th 3.233 0.000 -1.744



# 17
4
Lattice="-1.531 1.992 -2.421 -3.364 -0.486 -0.786 -4.646 8.124 7.110" Properties=species:S:1:pos:R:3 comment="PBE-GGA Ce2YTh, optimized geometry" e_above_lowest_polymorph_mev_per_atom=33 ef_ev_per_atom=0.098 sg="R3m, No. 160" pbc="T T T"
Ce -3.886 6.203 5.048
Ce -2.396 2.434 1.005
Y -7.904 9.114 4.956
Th -4.772 4.818 1.955



# 18
12
Lattice="-3.460 0.623 -0.624 -4.170 -3.180 9.730 -1.772 7.972 7.563" Properties=species:S:1:pos:R:3 comment="PBE-GGA CeY3Th2, optimized geometry" ef_ev_per_atom=0.060 sg="C2/m, No. 12" pbc="T T T"
Ce -3.534 6.482 5.636
Ce -5.867 -1.067 11.034
Y -3.843 3.175 4.048
Y -6.868 1.857 9.292
Y -4.713 0.865 6.565
Y -5.558 2.240 12.622
Y -4.688 4.549 10.104
Y -2.533 3.557 7.378
Th -6.833 5.576 12.805
Th -2.568 -0.161 3.864
Th -3.732 -1.995 8.486
Th -5.669 7.410 8.183



# 19
9
Lattice="-2.384 -2.518 -0.523 3.378 -0.606 -0.722 3.783 -8.796 25.094" Properties=species:S:1:pos:R:3 comment="PBE-GGA Ce2YTh6, optimized geometry" ef_ev_per_atom=0.107 sg="P-6m2, No. 187" pbc="T T T"
Ce 3.993 -7.140 16.167
Ce 2.704 -4.143 7.616
Y -0.463 -1.881 -0.589
Th 1.877 -2.219 2.126
Th 1.662 -6.824 13.513
Th 0.373 -3.827 4.962
Th 2.482 -8.731 18.953
Th 1.193 -5.734 10.402
Th 4.821 -9.064 21.656



# 20
4
Lattice="-3.399 -3.241 2.818 -0.708 -5.213 -1.526 2.011 -4.055 3.085" Properties=species:S:1:pos:R:3 comment="PBE-GGA CeYThZr, optimized geometry" ef_ev_per_atom=0.208 sg="F-43m, No. 216" pbc="T T T"
Y -1.572 -9.382 3.283
Zr -0.524 -3.127 1.094
Ce 0.000 0.000 0.000
Th -1.048 -6.254 2.189



# 21
4
Lattice="3.414 0.000 0.000 1.707 2.957 0.000 1.707 0.986 10.676" Properties=species:S:1:pos:R:3 comment="PBE-GGA Ce2ThZn, optimized geometry" e_above_lowest_polymorph_mev_per_atom=146 ef_ev_per_atom=0.058 sg="R3m, No. 160" pbc="T T T"
Ce 1.708 0.986 8.253
Ce 1.707 0.986 2.423
Th 3.415 1.971 5.338
Zn 3.414 1.971 0.000



# 22
4
Lattice="-4.173 -2.701 1.336 0.391 -5.047 0.936 -0.489 -1.771 4.809" Properties=species:S:1:pos:R:3 comment="PBE-GGA CeThZn2, optimized geometry" e_above_lowest_polymorph_mev_per_atom=13 ef_ev_per_atom=-0.166 sg="Fm-3m, No. 225" pbc="T T T"
Zn -1.068 -2.380 1.770
Zn -3.203 -7.139 5.311
Ce -2.135 -4.759 3.541
Th 0.000 0.000 0.000



# 23
10
Lattice="3.654 0.000 0.000 0.000 3.654 0.000 0.000 0.000 18.351" Properties=species:S:1:pos:R:3 comment="PBE-GGA CeTh4Zn5, optimized geometry" ef_ev_per_atom=-0.176 sg="P4/mmm, No. 123" pbc="T T T"
Ce 0.000 0.000 0.000
Th 0.000 0.000 3.655
Th 0.000 0.000 7.335
Th 0.000 0.000 11.016
Th 0.000 0.000 14.696
Zn 1.827 1.827 1.784
Zn 1.827 1.827 5.484
Zn 1.827 1.827 9.176
Zn 1.827 1.827 12.867
Zn 1.827 1.827 16.568